Version P
## Y2CuIr2 (PBE)

Data for a relaxed structure of Y2CuIr2.

Lattice parameters (Å, degrees): 5.6045 5.6045 7.8410 104.22 104.22 57.57
With the nearest neighbours (Å) after each atom.
Fractional positions:
Y 0.0010 0.7058 0.8506  6 Ir 2.88-3.19, 1 Cu 3.23
Y 0.2942 0.9990 0.6494  6 Ir 2.88-3.19, 1 Cu 3.23
Y 0.7058 0.0010 0.3506  6 Ir 2.88-3.19, 1 Cu 3.23
Y 0.9990 0.2942 0.1494  6 Ir 2.88-3.19, 1 Cu 3.23
Cu 0.3450 0.6550 0.2500  4 Ir 2.58-2.64
Cu 0.6550 0.3450 0.7500  4 Ir 2.58-2.64
Ir 0.2225 0.5100 0.4906  2 Cu 2.58-2.64, 1 Ir 2.60, 1 Y 2.88
Ir 0.4900 0.7775 0.0094  2 Cu 2.58-2.64, 1 Ir 2.60, 1 Y 2.88
Ir 0.5100 0.2225 0.9906  2 Cu 2.58-2.64, 1 Ir 2.60, 1 Y 2.88
Ir 0.7775 0.4900 0.5094  2 Cu 2.58-2.64, 1 Ir 2.60, 1 Y 2.88

Version Q
## Y2CuIr2 (PBE)

Data for a relaxed structure of Y2CuIr2.

Lattice parameters (Å, degrees): 5.4481 5.4481 5.4481 134.41 116.68 81.44
With the nearest neighbours (Å) after each atom.
Fractional positions:
Y 0.2059 0.2059 0.0000  6 Ir 2.88-3.01, 2 Cu 3.22
Y 0.7941 0.7941 0.0000  6 Ir 2.88-3.01, 2 Cu 3.22
Cu 0.5000 0.0000 0.5000  4 Ir 2.62
Ir 0.2282 0.5000 0.7282  1 Ir 2.61, 2 Cu 2.62, 2 Y 2.88
Ir 0.7718 0.5000 0.2718  1 Ir 2.61, 2 Cu 2.62, 2 Y 2.88

Which of them is most stable? Easy: version Q.

Version P
## Zn5Cu2Ir (PBE)

Data for a relaxed structure of Zn5Cu2Ir.

Lattice parameters (Å, degrees): 7.7729 7.7729 7.7729 151.20 151.20 41.19
With the nearest neighbours (Å) after each atom.
Fractional positions:
Zn 0.0000 0.0000 0.0000  8 Zn 2.70, 4 Ir 2.73
Zn 0.1297 0.6297 0.5000  4 Cu 2.59-2.63, 2 Ir 2.70, 6 Zn 2.70-2.73
Zn 0.3703 0.8703 0.5000  4 Cu 2.59-2.63, 6 Zn 2.70-2.73, 2 Ir 2.70
Zn 0.6297 0.1297 0.5000  4 Cu 2.59-2.63, 2 Ir 2.70, 6 Zn 2.70-2.73
Zn 0.8703 0.3703 0.5000  4 Cu 2.59-2.63, 6 Zn 2.70-2.73, 2 Ir 2.70
Cu 0.2524 0.2524 0.0000  8 Zn 2.59-2.63, 4 Cu 2.74
Cu 0.7476 0.7476 0.0000  8 Zn 2.59-2.63, 4 Cu 2.74
Ir 0.5000 0.5000 0.0000  12 Zn 2.70-2.73

Version Q
## Zn5Cu2Ir (PBE)

Data for a relaxed structure of Zn5Cu2Ir.

Lattice parameters (Å, degrees): 6.9474 6.9474 6.9474 122.71 122.71 85.37
With the nearest neighbours (Å) after each atom.
Fractional positions:
Zn 0.0000 0.0000 0.0000  2 Ir 2.55, 4 Cu 2.59
Zn 0.0048 0.5048 0.1899  3 Cu 2.54-2.56, 3 Zn 2.57-2.77, 2 Ir 2.68
Zn 0.1851 0.9952 0.5000  3 Cu 2.54-2.56, 3 Zn 2.57-2.77, 2 Ir 2.68
Zn 0.3149 0.8149 0.8101  3 Cu 2.54-2.56, 3 Zn 2.57-2.77, 2 Ir 2.68
Zn 0.4952 0.6851 0.5000  3 Cu 2.54-2.56, 3 Zn 2.57-2.77, 2 Ir 2.68
Zn 0.5000 0.5000 0.0000  2 Ir 2.55, 4 Cu 2.59
Zn 0.5048 0.3149 0.5000  3 Cu 2.54-2.56, 3 Zn 2.57-2.77, 2 Ir 2.68
Zn 0.6851 0.1851 0.1899  3 Cu 2.54-2.56, 3 Zn 2.57-2.77, 2 Ir 2.68
Zn 0.8149 0.0048 0.5000  3 Cu 2.54-2.56, 3 Zn 2.57-2.77, 2 Ir 2.68
Zn 0.9952 0.4952 0.8101  3 Cu 2.54-2.56, 3 Zn 2.57-2.77, 2 Ir 2.68
Cu 0.1357 0.3643 0.5000  8 Zn 2.54-2.59, 1 Cu 2.56
Cu 0.3643 0.8643 0.2285  8 Zn 2.54-2.59, 1 Cu 2.56
Cu 0.6357 0.1357 0.7715  8 Zn 2.54-2.59, 1 Cu 2.56
Cu 0.8643 0.6357 0.5000  8 Zn 2.54-2.59, 1 Cu 2.56
Ir 0.2500 0.2500 0.0000  10 Zn 2.55-2.68
Ir 0.7500 0.7500 0.0000  10 Zn 2.55-2.68

Which of them is most stable? Easy: version P.

Version P
## Zn4CuIr (PBE)

Data for a relaxed structure of Zn4CuIr.

Lattice parameters (Å, degrees): 4.9028 4.9028 4.9028 60.00 60.00 60.00
With the nearest neighbours (Å) after each atom.
Fractional positions:
Zn 0.1250 0.1250 0.1250  6 Zn 2.45
Zn 0.1250 0.1250 0.6249  6 Zn 2.45
Zn 0.1250 0.6249 0.1250  6 Zn 2.45
Zn 0.6249 0.1250 0.1250  6 Zn 2.45
Cu 0.7500 0.7500 0.7500  12 Zn 2.87, 4 Ir 3.00
Ir 0.5000 0.5000 0.5000  12 Zn 2.87, 4 Cu 3.00

Version Q
## Zn4CuIr (PBE)

Data for a relaxed structure of Zn4CuIr.

Lattice parameters (Å, degrees): 4.1066 4.1066 6.0276 90.00 90.00 90.00
With the nearest neighbours (Å) after each atom.
Fractional positions:
Zn 0.0000 0.5000 0.2494  2 Ir 2.54, 2 Cu 2.55
Zn 0.0000 0.5000 0.7506  2 Ir 2.54, 2 Cu 2.55
Zn 0.5000 0.0000 0.2494  2 Ir 2.54, 2 Cu 2.55
Zn 0.5000 0.0000 0.7506  2 Ir 2.54, 2 Cu 2.55
Cu 0.0000 0.0000 0.5000  8 Zn 2.55
Ir 0.5000 0.5000 0.0000  8 Zn 2.54

Version R
## Zn4CuIr (PBE)

Data for a relaxed structure of Zn4CuIr.

Lattice parameters (Å, degrees): 5.8271 5.8271 7.8088 90.00 90.00 140.91
With the nearest neighbours (Å) after each atom.
Fractional positions:
Zn 0.0000 0.0000 0.0000  2 Ir 2.64, 2 Cu 2.64, 8 Zn 2.73-2.76
Zn 0.0000 0.0000 0.5000  2 Ir 2.64, 2 Cu 2.64, 8 Zn 2.73-2.76
Zn 0.3262 0.6738 0.5066  6 Zn 2.57-2.75, 3 Cu 2.62-2.80, 3 Ir 2.70-2.73
Zn 0.3262 0.6738 0.9934  6 Zn 2.57-2.75, 3 Cu 2.62-2.80, 3 Ir 2.70-2.73
Zn 0.4975 0.5025 0.2500  2 Cu 2.62, 2 Ir 2.65, 8 Zn 2.71-2.76
Zn 0.5025 0.4975 0.7500  2 Cu 2.62, 2 Ir 2.65, 8 Zn 2.71-2.76
Zn 0.6738 0.3262 0.0066  6 Zn 2.57-2.75, 3 Cu 2.62-2.80, 3 Ir 2.70-2.73
Zn 0.6738 0.3262 0.4934  6 Zn 2.57-2.75, 3 Cu 2.62-2.80, 3 Ir 2.70-2.73
Cu 0.1622 0.8378 0.7500  10 Zn 2.62-2.80, 2 Ir 2.75
Cu 0.8378 0.1622 0.2500  10 Zn 2.62-2.80, 2 Ir 2.75
Ir 0.1612 0.8388 0.2500  10 Zn 2.64-2.73, 2 Cu 2.75
Ir 0.8388 0.1612 0.7500  10 Zn 2.64-2.73, 2 Cu 2.75

Which of them is most stable? Easy: version R.

Version P
## ZnCu4Ir (PBE)

Data for a relaxed structure of ZnCu4Ir.

Lattice parameters (Å, degrees): 9.0181 4.3243 7.8757 90.00 90.00 90.00
With the nearest neighbours (Å) after each atom.
Fractional positions:
Zn 0.2053 0.2500 0.0853  11 Cu 2.54-2.67, 1 Ir 2.62
Zn 0.2947 0.7500 0.5853  11 Cu 2.54-2.67, 1 Ir 2.62
Zn 0.7053 0.2500 0.4147  11 Cu 2.54-2.67, 1 Ir 2.62
Zn 0.7947 0.7500 0.9147  11 Cu 2.54-2.67, 1 Ir 2.62
Cu 0.0396 0.7500 0.0867  8 Cu 2.58-2.66, 3 Zn 2.59-2.63, 1 Ir 2.64
Cu 0.0400 0.7500 0.7573  2 Zn 2.54-2.67, 7 Cu 2.55-2.66, 3 Ir 2.64-2.69
Cu 0.2098 0.2500 0.7539  7 Cu 2.58-2.66, 2 Ir 2.61-2.66, 3 Zn 2.61-2.65
Cu 0.2139 0.2500 0.4156  6 Cu 2.55-2.66, 3 Zn 2.60-2.64, 3 Ir 2.63-2.66
Cu 0.2861 0.7500 0.9156  6 Cu 2.55-2.66, 3 Zn 2.60-2.64, 3 Ir 2.63-2.66
Cu 0.2902 0.7500 0.2539  7 Cu 2.58-2.66, 2 Ir 2.61-2.66, 3 Zn 2.61-2.65
Cu 0.4600 0.2500 0.2573  2 Zn 2.54-2.67, 7 Cu 2.55-2.66, 3 Ir 2.64-2.69
Cu 0.4604 0.2500 0.5867  8 Cu 2.58-2.66, 3 Zn 2.59-2.63, 1 Ir 2.64
Cu 0.5396 0.7500 0.4133  8 Cu 2.58-2.66, 3 Zn 2.59-2.63, 1 Ir 2.64
Cu 0.5400 0.7500 0.7427  2 Zn 2.54-2.67, 7 Cu 2.55-2.66, 3 Ir 2.64-2.69
Cu 0.7098 0.2500 0.7461  7 Cu 2.58-2.66, 2 Ir 2.61-2.66, 3 Zn 2.61-2.65
Cu 0.7139 0.2500 0.0844  6 Cu 2.55-2.66, 3 Zn 2.60-2.64, 3 Ir 2.63-2.66
Cu 0.7861 0.7500 0.5844  6 Cu 2.55-2.66, 3 Zn 2.60-2.64, 3 Ir 2.63-2.66
Cu 0.7902 0.7500 0.2461  7 Cu 2.58-2.66, 2 Ir 2.61-2.66, 3 Zn 2.61-2.65
Cu 0.9600 0.2500 0.2427  2 Zn 2.54-2.67, 7 Cu 2.55-2.66, 3 Ir 2.64-2.69
Cu 0.9604 0.2500 0.9133  8 Cu 2.58-2.66, 3 Zn 2.59-2.63, 1 Ir 2.64
Ir 0.0413 0.7500 0.4225  2 Ir 2.59, 9 Cu 2.61-2.69, 1 Zn 2.62
Ir 0.4587 0.2500 0.9225  2 Ir 2.59, 9 Cu 2.61-2.69, 1 Zn 2.62
Ir 0.5413 0.7500 0.0775  2 Ir 2.59, 9 Cu 2.61-2.69, 1 Zn 2.62
Ir 0.9587 0.2500 0.5775  2 Ir 2.59, 9 Cu 2.61-2.69, 1 Zn 2.62

Version Q
## ZnCu4Ir (PBE)

Data for a relaxed structure of ZnCu4Ir.

Lattice parameters (Å, degrees): 4.7777 4.7777 4.7777 60.00 60.00 60.00
With the nearest neighbours (Å) after each atom.
Fractional positions:
Zn 0.0000 0.0000 0.0000  12 Cu 2.80, 4 Ir 2.93
Cu 0.1252 0.6249 0.6249  6 Cu 2.39
Cu 0.6249 0.1252 0.6249  6 Cu 2.39
Cu 0.6249 0.6249 0.1252  6 Cu 2.39
Cu 0.6249 0.6249 0.6249  6 Cu 2.39
Ir 0.2500 0.2500 0.2500  12 Cu 2.80, 4 Zn 2.93

Which of them is most stable? Easy: version P.

Version P
## Zn6CuIr2 (PBE)

Data for a relaxed structure of Zn6CuIr2.

Lattice parameters (Å, degrees): 8.1750 8.1750 3.7842 90.00 90.00 90.00
With the nearest neighbours (Å) after each atom.
Fractional positions:
Zn 0.0021 0.3250 0.0000  1 Cu 2.66, 3 Ir 2.66-2.71, 8 Zn 2.68-2.86
Zn 0.1602 0.8398 0.5000  2 Cu 2.65, 6 Zn 2.68-2.76, 4 Ir 2.71-2.72
Zn 0.1750 0.5021 0.5000  1 Cu 2.66, 3 Ir 2.66-2.71, 8 Zn 2.68-2.86
Zn 0.3250 0.0021 0.0000  1 Cu 2.66, 3 Ir 2.66-2.71, 8 Zn 2.68-2.86
Zn 0.3398 0.3398 0.0000  2 Cu 2.65, 6 Zn 2.68-2.76, 4 Ir 2.71-2.72
Zn 0.4979 0.8250 0.5000  1 Cu 2.66, 3 Ir 2.66-2.71, 8 Zn 2.68-2.86
Zn 0.5021 0.1750 0.5000  1 Cu 2.66, 3 Ir 2.66-2.71, 8 Zn 2.68-2.86
Zn 0.6602 0.6602 0.0000  2 Cu 2.65, 6 Zn 2.68-2.76, 4 Ir 2.71-2.72
Zn 0.6750 0.9979 0.0000  1 Cu 2.66, 3 Ir 2.66-2.71, 8 Zn 2.68-2.86
Zn 0.8250 0.4979 0.5000  1 Cu 2.66, 3 Ir 2.66-2.71, 8 Zn 2.68-2.86
Zn 0.8398 0.1602 0.5000  2 Cu 2.65, 6 Zn 2.68-2.76, 4 Ir 2.71-2.72
Zn 0.9979 0.6750 0.0000  1 Cu 2.66, 3 Ir 2.66-2.71, 8 Zn 2.68-2.86
Cu 0.0000 0.0000 0.0000  8 Zn 2.65-2.66, 4 Ir 2.73
Cu 0.5000 0.5000 0.5000  8 Zn 2.65-2.66, 4 Ir 2.73
Ir 0.1708 0.1708 0.5000  10 Zn 2.66-2.72, 2 Cu 2.73
Ir 0.3292 0.6708 0.0000  10 Zn 2.66-2.72, 2 Cu 2.73
Ir 0.6708 0.3292 0.0000  10 Zn 2.66-2.72, 2 Cu 2.73
Ir 0.8292 0.8292 0.5000  10 Zn 2.66-2.72, 2 Cu 2.73

Version Q
## Zn6CuIr2 (PBE)

Data for a relaxed structure of Zn6CuIr2.

Lattice parameters (Å, degrees): 7.1832 7.1832 4.1827 106.29 106.29 48.48
With the nearest neighbours (Å) after each atom.
Fractional positions:
Zn 0.0829 0.5809 0.3314  3 Ir 2.56, 1 Cu 2.57
Zn 0.2448 0.7552 0.0000  2 Cu 2.54, 2 Ir 2.54
Zn 0.4191 0.9171 0.6686  3 Ir 2.56, 1 Cu 2.57
Zn 0.5809 0.0829 0.3314  3 Ir 2.56, 1 Cu 2.57
Zn 0.7552 0.2448 0.0000  2 Cu 2.54, 2 Ir 2.54
Zn 0.9171 0.4191 0.6686  3 Ir 2.56, 1 Cu 2.57
Cu 0.0000 0.0000 0.5000  8 Zn 2.54-2.57
Ir 0.3356 0.3356 0.8349  8 Zn 2.54-2.56
Ir 0.6644 0.6644 0.1651  8 Zn 2.54-2.56

Which of them is most stable? Easy: version P.

Version P
## ZnCu3Ir (PBE)

Data for a relaxed structure of ZnCu3Ir.

Lattice parameters (Å, degrees): 4.3333 4.5166 6.9882 72.23 89.72 89.82
With the nearest neighbours (Å) after each atom.
Fractional positions:
Zn 0.2494 0.1469 0.3946  2 Ir 2.57-2.59, 8 Cu 2.57-2.76, 2 Zn 2.72-2.73
Zn 0.7506 0.8531 0.6054  2 Ir 2.57-2.59, 8 Cu 2.57-2.76, 2 Zn 2.72-2.73
Cu 0.2500 0.3418 0.9921  7 Cu 2.56-2.66, 4 Ir 2.66-2.68, 1 Zn 2.68
Cu 0.2512 0.9267 0.8097  6 Cu 2.56-2.66, 3 Ir 2.62-2.65, 3 Zn 2.66-2.76
Cu 0.2515 0.5260 0.6047  4 Zn 2.57-2.74, 5 Cu 2.58-2.68, 3 Ir 2.62-2.64
Cu 0.7485 0.4740 0.3953  4 Zn 2.57-2.74, 5 Cu 2.58-2.68, 3 Ir 2.62-2.64
Cu 0.7488 0.0733 0.1903  6 Cu 2.56-2.66, 3 Ir 2.62-2.65, 3 Zn 2.66-2.76
Cu 0.7500 0.6582 0.0079  7 Cu 2.56-2.66, 4 Ir 2.66-2.68, 1 Zn 2.68
Ir 0.2487 0.7381 0.2076  2 Zn 2.57-2.59, 10 Cu 2.62-2.68
Ir 0.7513 0.2619 0.7924  2 Zn 2.57-2.59, 10 Cu 2.62-2.68

Version Q
## ZnCu3Ir (PBE)

Data for a relaxed structure of ZnCu3Ir.

Lattice parameters (Å, degrees): 4.2842 4.2842 4.2842 90.00 90.00 90.00
With the nearest neighbours (Å) after each atom.
Fractional positions:
Zn 0.0000 0.0000 0.0000  6 Cu 2.14
Cu 0.0000 0.0000 0.5000  2 Zn 2.14
Cu 0.0000 0.5000 0.0000  2 Zn 2.14
Cu 0.5000 0.0000 0.0000  2 Zn 2.14
Ir 0.5000 0.5000 0.5000  12 Cu 3.03

Which of them is most stable? Easy: version P.